[1]
DFT (PBE) results for a relaxed structure of PBrCl4.

Output
* polymorph energy (0 for the lowest one): 0 meV per atom
* DFT total energy: -2.8867 eV/atom
* E_form (uncorrected): -475 meV/atom

abc: 6.8975 6.8975 13.0754
angles: 90.00 90.00 116.18
With the nearest neighbours (Å) after each atom.
Element x y z (fractional)
P: 0.1933 0.8067 0.7500  4 Cl 1.99-2.01
P: 0.8067 0.1933 0.2500  4 Cl 1.99-2.01
Br: 0.5000 0.5000 0.0000  2 Cl 2.90
Br: 0.5000 0.5000 0.5000  2 Cl 2.90
Cl: 0.1275 0.3135 0.2500  1 P 1.99
Cl: 0.2981 0.7019 0.6280  1 P 2.01
Cl: 0.2981 0.7019 0.8720  1 P 2.01
Cl: 0.3135 0.1275 0.7500  1 P 1.99
Cl: 0.6865 0.8725 0.2500  1 P 1.99
Cl: 0.7019 0.2981 0.1280  1 P 2.01
Cl: 0.7019 0.2981 0.3720  1 P 2.01
Cl: 0.8725 0.6865 0.7500  1 P 1.99



[2]
DFT (PBE) results for a relaxed structure of PBrCl.

Output
* polymorph energy (0 for the lowest one): 204 meV per atom
* N(E_F): 0.23 states/eV per atom
* DFT total energy: -3.2164 eV/atom
* E_form (uncorrected): -240 meV/atom

abc: 5.8595 5.8595 6.0409
angles: 102.89 102.89 33.27
With the nearest neighbours (Å) after each atom.
Element x y z (fractional)
P: 0.0000 0.0000 0.0000  1 Cl 2.05, 1 Br 2.21
Br: 0.9380 0.9380 0.6254  1 P 2.21
Cl: 0.1870 0.1870 0.0565  1 P 2.05



[3]
DFT (PBE) results for a relaxed structure of PBr2Cl.

Output
* polymorph energy (0 for the lowest one): 0 meV per atom
* N(E_F): 0.00 states/eV per atom
* DFT total energy: -3.1194 eV/atom
* E_form (uncorrected): -469 meV/atom

abc: 5.1724 12.0648 5.7847
angles: 90.00 102.98 90.00
With the nearest neighbours (Å) after each atom.
Element x y z (fractional)
P: 0.0478 0.2500 0.1974  1 Cl 2.06, 2 Br 2.26
P: 0.9522 0.7500 0.8026  1 Cl 2.06, 2 Br 2.26
Br: 0.3293 0.1048 0.2420  1 P 2.26
Br: 0.3293 0.3952 0.2420  1 P 2.26
Br: 0.6707 0.6048 0.7580  1 P 2.26
Br: 0.6707 0.8952 0.7580  1 P 2.26
Cl: 0.0975 0.7500 0.1653  1 P 2.06
Cl: 0.9025 0.2500 0.8347  1 P 2.06



[4]
DFT (PBE) results for a relaxed structure of PBrCl2.

Output
* polymorph energy (0 for the lowest one): 1208 meV per atom
* N(E_F): 0.08 states/eV per atom
* DFT total energy: -1.9055 eV/atom
* E_form (uncorrected): 788 meV/atom

abc: 4.8794 4.8794 4.8794
angles: 60.00 60.00 60.00
With the nearest neighbours (Å) after each atom.
Element x y z (fractional)
P: 0.0000 0.0000 0.0000  8 Cl 2.99
Br: 0.5000 0.5000 0.5000  8 Cl 2.99
Cl: 0.2500 0.2500 0.2500  4 Br 2.99, 4 P 2.99
Cl: 0.7500 0.7500 0.7500  4 P 2.99, 4 Br 2.99



[5]
DFT (PBE) results for a relaxed structure of PBrCl2.

Output
* polymorph energy (0 for the lowest one): 972 meV per atom
* N(E_F): 0.81 states/eV per atom
* DFT total energy: -2.1417 eV/atom
* E_form (uncorrected): 552 meV/atom

abc: 5.3605 5.3605 3.4203
angles: 90.11 90.11 90.77
With the nearest neighbours (Å) after each atom.
Element x y z (fractional)
P: 0.0000 0.0000 0.0000  4 Cl 2.68
Br: 0.5000 0.5000 0.0000  4 Cl 2.68
Cl: 0.0000 0.5000 0.0000  2 Br 2.68, 2 P 2.68
Cl: 0.5000 0.0000 0.0000  2 Br 2.68, 2 P 2.68



[6]
DFT (PBE) results for a relaxed structure of PBrCl2.

Output
* polymorph energy (0 for the lowest one): 540 meV per atom
* N(E_F): 0.73 states/eV per atom
* DFT total energy: -2.5740 eV/atom
* E_form (uncorrected): 120 meV/atom

abc: 4.1838 4.1838 9.2796
angles: 103.18 103.18 45.11
With the nearest neighbours (Å) after each atom.
Element x y z (fractional)
P: 0.0000 0.0000 0.0000  4 Cl 2.37
Br: 0.5000 0.5000 0.5000  2 Br 3.21
Cl: 0.3151 0.3151 0.8481  2 P 2.37
Cl: 0.6849 0.6849 0.1519  2 P 2.37